Nb2V4Re | PBE | relaxed

Computed properties:
SG: I4/mmm

abc: 4.543 4.543 7.114
angles: 71.38 71.38 90.00
Last column: magnetic moment on the atom in μB.
Fractional coordinates of all 7 atoms:
Re 0.000 0.000 0.000  -0.04
Nb 0.375 0.375 0.250  -0.08
Nb 0.625 0.625 0.750  -0.08
V 0.189 0.189 0.621  0.35
V 0.811 0.811 0.379  0.35
V 0.000 0.500 0.000  0.31
V 0.500 0.000 0.000  0.31

---

Y2FeRu | PBE | relaxed

Computed properties:
SG: C2/m

abc: 4.602 4.602 5.842
angles: 77.16 77.16 44.21
Last column: magnetic moment on the atom in μB.
Fractional coordinates of all 4 atoms:
Fe 0.750 0.750 0.750  2.13
Ru 0.250 0.250 0.250  0.21
Y 0.000 0.000 0.002  -0.17
Y 0.500 0.500 0.498  -0.17

---

CeY5Ho4 | PBE | relaxed

Computed properties:
E above lowest polymorph: 0.0000 eV/atom
SG: C2/m

abc: 3.480 10.820 9.041
angles: 73.21 101.09 90.00
Last column: magnetic moment on the atom in μB.
Fractional coordinates of all 10 atoms:
Ce 0.500 0.000 0.000  0.44
Y 0.794 0.600 0.588  -0.03
Y 0.895 0.285 0.790  -0.01
Y 0.105 0.715 0.210  -0.01
Y 0.500 0.500 0.000  -0.01
Y 0.206 0.400 0.412  -0.03
Ho 0.304 0.082 0.607  0.00
Ho 0.907 0.809 0.813  0.01
Ho 0.696 0.918 0.393  0.00
Ho 0.093 0.191 0.187  0.01

---

PaZnFe2 | PBE | relaxed

Computed properties:
SG: Pmma

abc: 6.486 5.799 7.617
angles: 90.00 90.00 90.00
Last column: magnetic moment on the atom in μB.
Fractional coordinates of all 16 atoms:
Pa 0.000 0.250 0.697  -0.83
Pa 0.500 0.750 0.234  -0.59
Pa 0.000 0.750 0.303  -0.83
Pa 0.500 0.250 0.766  -0.59
Zn 0.500 0.750 0.740  -0.04
Zn 0.500 0.250 0.260  -0.04
Zn 0.000 0.250 0.279  -0.03
Zn 0.000 0.750 0.721  -0.03
Fe 0.000 0.000 0.000  1.50
Fe 0.500 0.500 0.500  1.26
Fe 0.285 0.750 0.994  1.14
Fe 0.715 0.250 0.006  1.14
Fe 0.715 0.750 0.994  1.14
Fe 0.285 0.250 0.006  1.14
Fe 0.000 0.500 0.000  1.50
Fe 0.500 0.000 0.500  1.26

---

Values for E_form, eV per atom, ordered as above
1.111, 0.294, 0.109, 0.403
Values for magnetic moment, μB/f.u., ordered as above
1.3, 1.8, 0.4, 1.6
Values for volume, Å³/f.u., ordered as above
131.04, 83.76, 319.22, 71.62